Below is a relaxed structure of Tm2ThUC4, with properties calculated at the PBE-GGA level.

a b c (Å): 3.6355 6.1499 6.2851
angles (deg): 70.20 90.00 90.00
Last column: nearest neighbours and their distance in Å.
Sites, in units of the cell vectors:
Tm 0.0000 0.0000 0.0000  6 C 2.65-2.75
Tm 0.5000 0.0000 0.5000  6 C 2.52-2.54
Th 0.5000 0.5000 0.0000  6 C 2.57-2.58
U 0.0000 0.5000 0.5000  6 C 2.33-2.45
C 0.0000 0.7330 0.7260  1 U 2.33, 2 Tm 2.54, 2 Th 2.58
C 0.0000 0.2670 0.2740  1 U 2.33, 2 Tm 2.54, 2 Th 2.58
C 0.5000 0.7320 0.2722  2 U 2.45, 3 Tm 2.52-2.65, 1 Th 2.57
C 0.5000 0.2680 0.7278  2 U 2.45, 3 Tm 2.52-2.65, 1 Th 2.57

Calculated values
For the magnetization, the calculation gives 0.000 μB/atom. Its symmetry is P2/m, No. 10. For the formation energy, the calculation gives -0.267 eV per atom.



Below is a relaxed structure of Tm2ThWC4, with properties calculated at the PBE-GGA level.

a b c (Å): 3.5019 6.3121 12.0980
angles (deg): 90.00 90.00 106.10
Last column: nearest neighbours and their distance in Å.
Sites, in units of the cell vectors:
Tm 0.3702 0.7403 0.5390  6 C 2.40-2.66
Tm 0.6298 0.2597 0.0390  6 C 2.40-2.66
Tm 0.6298 0.2597 0.4610  6 C 2.40-2.66
Tm 0.3702 0.7403 0.9610  6 C 2.40-2.66
Th 0.1024 0.2048 0.7500  6 C 2.70-2.81
Th 0.8976 0.7952 0.2500  6 C 2.70-2.81
W 0.8395 0.6790 0.7500  4 C 1.93-2.09
W 0.1605 0.3210 0.2500  4 C 1.93-2.09
C 0.2633 0.5266 0.1277  1 W 1.93
C 0.7367 0.4734 0.6277  1 W 1.93
C 0.7367 0.4734 0.8723  1 W 1.93
C 0.2633 0.5266 0.3723  1 W 1.93
C 0.0000 0.0000 0.5000  4 Tm 2.40
C 0.0000 0.0000 0.0000  4 Tm 2.40
C 0.4331 0.8663 0.7500  2 W 2.09
C 0.5669 0.1337 0.2500  2 W 2.09

Calculated values
For the magnetization, the calculation gives 0.000 μB/atom. Its symmetry is Cmcm, No. 63. For the formation energy, the calculation gives -0.156 eV per atom.



Below is a relaxed structure of TmTh2ZnC, with properties calculated at the PBE-GGA level.

a b c (Å): 5.0463 5.0463 4.8041
angles (deg): 90.00 90.00 90.00
Last column: nearest neighbours and their distance in Å.
Sites, in units of the cell vectors:
Tm 0.0000 0.0000 0.5001  2 C 2.40
Th 0.0000 0.5000 0.0002  2 C 2.52
Th 0.5000 0.0000 0.0002  2 C 2.52
Zn 0.5000 0.5000 0.4995  8 Th 3.48-3.49, 4 Tm 3.57
C 0.0000 0.0000 0.0001  2 Tm 2.40, 4 Th 2.52

Calculated values
For the magnetization, the calculation gives 0.000 μB/atom. Its symmetry is P4/mmm, No. 123. For the formation energy, the calculation gives -0.186 eV per atom.



Below is a relaxed structure of Th4UC4, with properties calculated at the PBE-GGA level.

a b c (Å): 3.6625 6.3829 8.2389
angles (deg): 75.60 77.16 73.33
Last column: nearest neighbours and their distance in Å.
Sites, in units of the cell vectors:
Th 0.7028 0.3997 0.1947  5 C 2.53-2.79
Th 0.8969 0.8141 0.3920  4 C 2.51-2.76
Th 0.2972 0.6003 0.8053  5 C 2.53-2.79
Th 0.1031 0.1859 0.6080  4 C 2.51-2.76
U 0.5000 0.0000 0.0000  6 C 2.43-2.47
C 0.3127 0.0878 0.2867  1 U 2.47, 4 Th 2.51-2.64
C 0.6873 0.9122 0.7133  1 U 2.47, 4 Th 2.51-2.64
C 0.9107 0.2598 0.9187  2 U 2.43, 2 Th 2.53-2.62
C 0.0893 0.7402 0.0813  2 U 2.43, 2 Th 2.53-2.62

Calculated values
For the magnetization, the calculation gives 0.000 μB/atom. Its symmetry is C2/m, No. 12. For the formation energy, the calculation gives -0.252 eV per atom.



Below is a relaxed structure of Th2UC4, with properties calculated at the PBE-GGA level.

a b c (Å): 3.7735 5.9167 6.1625
angles (deg): 116.81 90.00 90.00
Last column: nearest neighbours and their distance in Å.
Sites, in units of the cell vectors:
Th 0.5000 0.4100 0.7736  6 C 2.41-2.68
Th 0.5000 0.7328 0.3693  6 C 2.41-2.68
U 0.0000 0.0714 0.0714  6 C 2.25-2.39
C 0.5000 0.9741 0.8065  2 U 2.39, 1 Th 2.41
C 0.0000 0.4537 0.0759  1 C 1.42
C 0.5000 0.1687 0.3364  2 U 2.39, 1 Th 2.41
C 0.0000 0.6891 0.0670  1 C 1.42

Calculated values
For the magnetization, the calculation gives 0.000 μB/atom. Its symmetry is P2/m, No. 10. For the formation energy, the calculation gives -0.068 eV per atom.



Below is a relaxed structure of Th5UC4, with properties calculated at the PBE-GGA level.

a b c (Å): 3.6371 7.3776 8.2260
angles (deg): 101.60 102.77 90.00
Last column: nearest neighbours and their distance in Å.
Sites, in units of the cell vectors:
Th 0.1586 0.3140 0.3172  3 C 2.49-2.54
Th 0.1656 0.8365 0.3313  4 C 2.55-2.77
Th 0.8344 0.1635 0.6687  4 C 2.55-2.77
Th 0.5000 0.5000 0.0000  4 C 2.76
Th 0.8414 0.6860 0.6828  3 C 2.49-2.54
U 0.5000 0.0000 0.0000  6 C 2.43-2.48
C 0.6583 0.0745 0.3165  1 U 2.48, 5 Th 2.54-2.77
C 0.0002 0.2194 0.0004  2 U 2.43, 2 Th 2.49-2.61
C 0.3417 0.9255 0.6835  1 U 2.48, 5 Th 2.54-2.77
C 0.9998 0.7806 0.9996  2 U 2.43, 2 Th 2.49-2.61

Calculated values
For the magnetization, the calculation gives 0.000 μB/atom. Its symmetry is C2/m, No. 12. For the formation energy, the calculation gives -0.236 eV per atom.



Below is a relaxed structure of ThU2C4, with properties calculated at the PBE-GGA level.

a b c (Å): 6.7968 6.7968 6.7968
angles (deg): 113.90 100.94 113.90
Last column: nearest neighbours and their distance in Å.
Sites, in units of the cell vectors:
Th 0.0000 0.0000 0.0000  4 C 2.51
Th 0.7500 0.5000 0.2500  4 C 2.51
U 0.8750 0.2500 0.6250  6 C 2.29-2.32
U 0.3750 0.2500 0.6250  6 C 2.29-2.32
U 0.3750 0.7500 0.6250  6 C 2.29-2.32
U 0.3750 0.7500 0.1250  6 C 2.29-2.32
C 0.1767 0.8111 0.3656  3 U 2.29-2.32, 1 Th 2.51
C 0.6344 0.8111 0.4454  3 U 2.29-2.32, 1 Th 2.51
C 0.1157 0.6889 0.8046  3 U 2.29-2.32, 1 Th 2.51
C 0.1954 0.3111 0.8844  3 U 2.29-2.32, 1 Th 2.51
C 0.5733 0.6889 0.8843  3 U 2.29-2.32, 1 Th 2.51
C 0.6343 0.1889 0.8233  3 U 2.29-2.32, 1 Th 2.51
C 0.5546 0.1889 0.3657  3 U 2.29-2.32, 1 Th 2.51
C 0.1156 0.3111 0.4267  3 U 2.29-2.32, 1 Th 2.51

Calculated values
For the magnetization, the calculation gives 0.000 μB/atom. Its symmetry is I4_1/amd, No. 141. For the formation energy, the calculation gives 0.078 eV per atom.



Below is a relaxed structure of Th3UC4, with properties calculated at the PBE-GGA level.

a b c (Å): 3.6945 6.4261 6.4261
angles (deg): 109.65 90.00 90.00
Last column: nearest neighbours and their distance in Å.
Sites, in units of the cell vectors:
Th 0.0000 0.0000 0.5000  6 C 2.62-2.64
Th 0.5000 0.5000 0.5000  6 C 2.78-2.80
Th 0.0000 0.5000 0.0000  6 C 2.62-2.64
U 0.5000 0.0000 0.0000  6 C 2.45-2.46
C 0.0000 0.2187 0.2187  2 U 2.46, 2 Th 2.64
C 0.5000 0.7670 0.2330  1 U 2.45, 4 Th 2.62
C 0.0000 0.7813 0.7813  2 U 2.46, 2 Th 2.64
C 0.5000 0.2330 0.7670  1 U 2.45, 4 Th 2.62

Calculated values
For the magnetization, the calculation gives 0.000 μB/atom. Its symmetry is Cmmm, No. 65. For the formation energy, the calculation gives -0.231 eV per atom.



Below is a relaxed structure of ThU2C, with properties calculated at the PBE-GGA level.

a b c (Å): 3.8797 3.8797 6.9739
angles (deg): 73.85 73.85 60.00
Last column: nearest neighbours and their distance in Å.
Sites, in units of the cell vectors:
C 0.5000 0.5000 0.5000  6 U 2.36
U 0.7957 0.7957 0.6129  3 C 2.36
U 0.2043 0.2043 0.3871  3 C 2.36
Th 0.0000 0.0000 0.0000  6 U 3.40

Calculated values
For the magnetization, the calculation gives 0.000 μB/atom. Its symmetry is R-3m, No. 166. For the formation energy, the calculation gives 0.304 eV per atom.



Below is a relaxed structure of Th3UC4, with properties calculated at the PBE-GGA level.

a b c (Å): 6.3942 6.4115 7.4307
angles (deg): 90.00 90.00 109.28
Last column: nearest neighbours and their distance in Å.
Sites, in units of the cell vectors:
C 0.9764 0.2341 0.6499  1 U 2.39, 4 Th 2.58-2.67
C 0.5077 0.2192 0.8901  2 U 2.41-2.49, 2 Th 2.61-2.65
C 0.4764 0.2341 0.3501  1 U 2.39, 4 Th 2.58-2.67
C 0.0077 0.2192 0.1099  2 U 2.41-2.49, 2 Th 2.61-2.65
C 0.9923 0.7808 0.8901  2 U 2.41-2.49, 2 Th 2.61-2.65
C 0.5236 0.7659 0.6499  1 U 2.39, 4 Th 2.58-2.67
C 0.4923 0.7808 0.1099  2 U 2.41-2.49, 2 Th 2.61-2.65
C 0.0236 0.7659 0.3501  1 U 2.39, 4 Th 2.58-2.67
U 0.7500 0.0000 0.8754  6 C 2.39-2.49
U 0.2500 0.0000 0.1246  6 C 2.39-2.49
Th 0.7500 0.0000 0.3744  6 C 2.65-2.67
Th 0.2500 0.0000 0.6256  6 C 2.65-2.67
Th 0.7500 0.5000 0.6239  6 C 2.58-2.85
Th 0.7500 0.5000 0.1237  6 C 2.61-2.82
Th 0.2500 0.5000 0.3761  6 C 2.58-2.85
Th 0.2500 0.5000 0.8763  6 C 2.61-2.82

Calculated values
For the magnetization, the calculation gives 0.000 μB/atom. Its symmetry is P2/c, No. 13. For the formation energy, the calculation gives -0.252 eV per atom.



Below is a relaxed structure of Th2UC, with properties calculated at the PBE-GGA level.

a b c (Å): 3.4588 3.4588 9.6239
angles (deg): 79.65 79.65 60.00
Last column: nearest neighbours and their distance in Å.
Sites, in units of the cell vectors:
C 0.5000 0.5000 0.5000  6 Th 2.51
U 0.0000 0.0000 0.0000  2 Th 3.18, 6 U 3.46
Th 0.1125 0.1125 0.6624  3 C 2.51
Th 0.8875 0.8875 0.3376  3 C 2.51

Calculated values
For the magnetization, the calculation gives 0.714 μB/atom. Its symmetry is R-3m, No. 166. For the formation energy, the calculation gives 0.309 eV per atom.